No. 1
{
  "formula": "TcAg2W",
  "functional": "PBE-GGA",
  "state": "optimized geometry",
  "lattice_angstrom": [[2.8145, 0.0000, 0.0000], [-1.4073, 2.4374, 0.0000], [0.0000, 0.0000, 28.9501]],
  "species": ["Tc", "Tc", "Tc", "Ag", "Ag", "Ag", "Ag", "Ag", "Ag", "W", "W", "W"],
  "fractional_positions": [[0.0000, 0.0000, 0.0000], [0.3333, 0.6667, 0.6667], [0.6667, 0.3333, 0.3333], [0.0000, 0.0000, 0.2484], [0.0000, 0.0000, 0.4955], [0.3333, 0.6667, 0.1621], [0.3333, 0.6667, 0.9151], [0.6667, 0.3333, 0.5818], [0.6667, 0.3333, 0.8288], [0.0000, 0.0000, 0.7423], [0.3333, 0.6667, 0.4090], [0.6667, 0.3333, 0.0757]],
  "e_above_lowest_polymorph_ev_per_fu": 0.14
}

---

No. 2
{
  "formula": "MgAg2Au4",
  "functional": "PBE-GGA",
  "state": "optimized geometry",
  "lattice_angstrom": [[4.9065, 0.0000, 0.0000], [-0.3013, 5.5586, 0.0000], [-0.3033, -2.7539, 5.0925]],
  "species": ["Mg", "Ag", "Ag", "Au", "Au", "Au", "Au"],
  "fractional_positions": [[0.0000, 0.0000, 0.0000], [0.2467, 0.5719, 0.1515], [0.7533, 0.4281, 0.8485], [0.2626, 0.0791, 0.6438], [0.2690, 0.5825, 0.6543], [0.7310, 0.4175, 0.3457], [0.7374, 0.9209, 0.3562]],
  "e_tot_ev_per_atom": -3.022
}

---

No. 3
{
  "formula": "Be8Cu",
  "functional": "PBE-GGA",
  "state": "optimized geometry",
  "lattice_angstrom": [[-3.4003, 3.4003, 1.6269], [3.4003, -3.4003, 1.6269], [3.4003, 3.4003, -1.6269]],
  "species": ["Be", "Be", "Be", "Be", "Be", "Be", "Be", "Be", "Cu"],
  "fractional_positions": [[0.0000, 0.3397, 0.3397], [0.0000, 0.6603, 0.6603], [0.3287, 0.3287, 0.6574], [0.3287, 0.6713, 0.0000], [0.3397, 0.0000, 0.3397], [0.6603, 0.0000, 0.6603], [0.6713, 0.3287, 0.0000], [0.6713, 0.6713, 0.3426], [0.0000, 0.0000, 0.0000]],
  "e_tot_ev_per_atom": -3.771
}

---

No. 4
{
  "formula": "TaS2ClO",
  "functional": "PBE-GGA",
  "state": "optimized geometry",
  "lattice_angstrom": [[4.7495, 0.0000, 0.0000], [0.0000, 4.7495, 0.0000], [0.0000, 0.0000, 4.8880]],
  "species": ["Ta", "S", "S", "Cl", "O"],
  "fractional_positions": [[0.0000, 0.0000, 0.0000], [0.0000, 0.5000, 0.0000], [0.5000, 0.0000, 0.0000], [0.0000, 0.0000, 0.5000], [0.5000, 0.5000, 0.5000]],
  "e_above_lowest_polymorph_ev_per_fu": 0.00,
  "formation_energy_uncorrected_ev_per_atom": 0.032
}